Compound: Sr2CdRh
Source: Alexandria via LeMat-Bulk
Functional: GGA-PBEsol
Structure: relaxed

The calculation puts the formation energy at -0.207 eV per atom. The total magnetization is 0.0 μB/cell.

It has space group Amm2 (No. 38), with a = 4.467 Å, b = 4.466 Å, c = 11.491 Å, α = 90.00°, β = 90.00° and γ = 90.00°. The inequivalent atoms are Sr at (0.000, 0.000, 0.000), Sr at (0.500, 0.000, 0.282), Cd at (0.000, 0.000, 0.704) and Rh at (0.500, 0.000, 0.574).